A plane-wave DFT calculation with PBE was carried out for an optimized crystal structure of Mg3TaRu.

Calculated values
Its calculated density is 5.52 g/cm3. As for the total energy: -4.12 eV/atom.

Lattice parameters (Å, degrees): 4.7434 4.7434 4.7434 90.00 90.00 90.00
With the nearest neighbours (Å) after each atom.
Element x y z (fractional)
Mg: 0.0000 0.0000 0.5000  2 Ru 2.37
Mg: 0.0000 0.5000 0.0000  2 Ru 2.37
Mg: 0.5000 0.0000 0.0000  2 Ru 2.37
Ta: 0.5000 0.5000 0.5000  12 Mg 3.35
Ru: 0.0000 0.0000 0.0000  6 Mg 2.37